La6Tb2In | PBE-GGA | relaxed

Calculated values
Calculated volume, Å³ per atom: 34.2
Symmetry: C2/m (12)
Magnetization, Bohr magnetons per cell: 0.0
VASP energy, eV/f.u.: -41.957

CIF file:
```
data_La6Tb2In
_chemical_formula_sum 'La6 Tb2 In1'
_cell_length_a 6.0102
_cell_length_b 6.3517
_cell_length_c 9.6085
_cell_angle_alpha 70.70
_cell_angle_beta 81.26
_cell_angle_gamma 62.62
_symmetry_space_group_name_H-M 'P 1'
_symmetry_Int_Tables_number 1
loop_
_symmetry_equiv_pos_as_xyz
'x,y,z'
loop_
_atom_site_label
_atom_site_type_symbol
_atom_site_fract_x
_atom_site_fract_y
_atom_site_fract_z
La1 La 0.1580 0.8462 0.1836
La2 La 0.8420 0.4702 0.1836
La3 La 0.8420 0.1538 0.8164
La4 La 0.1580 0.5298 0.8164
La5 La 0.3477 0.3023 0.5000
La6 La 0.6523 0.6977 0.5000
Tb1 Tb 0.5000 0.8231 0.8538
Tb2 Tb 0.5000 0.1769 0.1462
In1 In 0.0000 0.0000 0.5000
```

NiPdPtRh | PBE-GGA | relaxed

Calculated values
Calculated volume, Å³ per atom: 14.2
Symmetry: I-4m2 (119)
Magnetization, Bohr magnetons per cell: 2.1
VASP energy, eV/f.u.: -24.321

CIF file:
```
data_NiPdPtRh
_chemical_formula_sum 'Ni1 Pd1 Pt1 Rh1'
_cell_length_a 3.8485
_cell_length_b 3.8485
_cell_length_c 4.7063
_cell_angle_alpha 114.12
_cell_angle_beta 114.13
_cell_angle_gamma 90.00
_symmetry_space_group_name_H-M 'P 1'
_symmetry_Int_Tables_number 1
loop_
_symmetry_equiv_pos_as_xyz
'x,y,z'
loop_
_atom_site_label
_atom_site_type_symbol
_atom_site_fract_x
_atom_site_fract_y
_atom_site_fract_z
Ni1 Ni 0.0000 0.0000 0.0000
Pd1 Pd 0.7500 0.2500 0.5000
Pt1 Pt 0.2500 0.7500 0.5000
Rh1 Rh 0.5000 0.5000 0.0000
```

MgTi2Se2 | PBE-GGA | relaxed

Calculated values
Energy relative to the elements, uncorrected, eV/atom: -0.645
Calculated volume, Å³ per atom: 17.4
Symmetry: P4/mbm (127)
Magnetization, Bohr magnetons per cell: 0.0
VASP energy, eV/f.u.: -27.577

CIF file:
```
data_MgTi2Se2
_chemical_formula_sum 'Mg2 Ti4 Se4'
_cell_length_a 7.2847
_cell_length_b 7.2847
_cell_length_c 3.2792
_cell_angle_alpha 90.00
_cell_angle_beta 90.00
_cell_angle_gamma 90.00
_symmetry_space_group_name_H-M 'P 1'
_symmetry_Int_Tables_number 1
loop_
_symmetry_equiv_pos_as_xyz
'x,y,z'
loop_
_atom_site_label
_atom_site_type_symbol
_atom_site_fract_x
_atom_site_fract_y
_atom_site_fract_z
Mg1 Mg 0.0000 0.0000 0.0000
Mg2 Mg 0.5000 0.5000 0.0000
Se1 Se 0.3520 0.8520 0.0000
Se2 Se 0.8520 0.6480 0.0000
Se3 Se 0.6480 0.1480 0.0000
Se4 Se 0.1480 0.3520 0.0000
Ti1 Ti 0.1470 0.6470 0.5000
Ti2 Ti 0.6470 0.8530 0.5000
Ti3 Ti 0.8530 0.3530 0.5000
Ti4 Ti 0.3530 0.1470 0.5000
```

Ba2TlH6Ir | PBE-GGA | relaxed

Calculated values
Calculated volume, Å³ per atom: 18.3
Symmetry: P-3m1 (164)
Magnetization, Bohr magnetons per cell: 0.0
VASP energy, eV/f.u.: -39.817

CIF file:
```
data_Ba2TlH6Ir
_chemical_formula_sum 'Ba2 Tl1 H6 Ir1'
_cell_length_a 7.6010
_cell_length_b 5.2769
_cell_length_c 5.2769
_cell_angle_alpha 120.00
_cell_angle_beta 90.00
_cell_angle_gamma 90.00
_symmetry_space_group_name_H-M 'P 1'
_symmetry_Int_Tables_number 1
loop_
_symmetry_equiv_pos_as_xyz
'x,y,z'
loop_
_atom_site_label
_atom_site_type_symbol
_atom_site_fract_x
_atom_site_fract_y
_atom_site_fract_z
Ba1 Ba 0.2097 0.3333 0.6667
Ba2 Ba 0.7903 0.6667 0.3333
Tl1 Tl 0.5000 0.0000 0.0000
H1 H 0.8762 0.1535 0.3071
H2 H 0.8762 0.1535 0.8465
H3 H 0.8762 0.6929 0.8465
H4 H 0.1238 0.8465 0.1535
H5 H 0.1238 0.3071 0.1535
H6 H 0.1238 0.8465 0.6929
Ir1 Ir 0.0000 0.0000 0.0000
```